Entry 1:
DFT (GGA-PBE) results for crystalline InHg3Pb8 at its relaxed geometry.

Results
theoretical density: 11.14 Mg/m³
size of the total moment: 0.00 μB per cell
space group: P1
energy of formation from the pure elements: 15.0 meV per atom

CIF file:
```
data_InHg3Pb8
_space_group_name_H-M_alt 'P 1'
_space_group_IT_number 1
_cell_length_a 5.618
_cell_length_b 8.083
_cell_length_c 8.228
_cell_angle_alpha 84.78
_cell_angle_beta 76.99
_cell_angle_gamma 76.60
loop_
_space_group_symop_operation_xyz
'x,y,z'
loop_
_atom_site_label
_atom_site_type_symbol
_atom_site_fract_x
_atom_site_fract_y
_atom_site_fract_z
_atom_site_occupancy
In1 In 0.000 0.000 0.000 1
Hg1 Hg 0.216 0.244 0.248 1
Hg2 Hg 0.499 0.499 0.500 1
Hg3 Hg 0.720 0.744 0.748 1
Pb1 Pb 0.000 0.339 0.658 1
Pb2 Pb 0.003 0.654 0.335 1
Pb3 Pb 0.218 0.585 0.910 1
Pb4 Pb 0.219 0.905 0.589 1
Pb5 Pb 0.500 0.837 0.160 1
Pb6 Pb 0.504 0.156 0.834 1
Pb7 Pb 0.713 0.408 0.091 1
Pb8 Pb 0.714 0.088 0.411 1
```

Entry 2:
DFT (GGA-PBE) results for crystalline InHg5Pb6 at its relaxed geometry.

Results
theoretical density: 11.27 Mg/m³
size of the total moment: 0.00 μB per cell
space group: C2/m
energy of formation from the pure elements: 28.6 meV per atom

CIF file:
```
data_InHg5Pb6
_space_group_name_H-M_alt 'P 1'
_space_group_IT_number 1
_cell_length_a 8.209
_cell_length_b 8.209
_cell_length_c 5.756
_cell_angle_alpha 108.58
_cell_angle_beta 108.58
_cell_angle_gamma 86.90
loop_
_space_group_symop_operation_xyz
'x,y,z'
loop_
_atom_site_label
_atom_site_type_symbol
_atom_site_fract_x
_atom_site_fract_y
_atom_site_fract_z
_atom_site_occupancy
In1 In 0.000 0.000 0.000 1
Hg1 Hg 0.163 0.837 0.500 1
Hg2 Hg 0.328 0.672 0.000 1
Hg3 Hg 0.500 0.500 0.500 1
Hg4 Hg 0.672 0.328 0.000 1
Hg5 Hg 0.837 0.163 0.500 1
Pb1 Pb 0.087 0.422 0.255 1
Pb2 Pb 0.254 0.254 0.756 1
Pb3 Pb 0.422 0.087 0.255 1
Pb4 Pb 0.578 0.913 0.745 1
Pb5 Pb 0.746 0.746 0.244 1
Pb6 Pb 0.913 0.578 0.745 1
```

Entry 3:
DFT (GGA-PBE) results for crystalline In2HgPb at its relaxed geometry.

Results
theoretical density: 9.41 Mg/m³
size of the total moment: 0.00 μB per cell
space group: Pm
energy of formation from the pure elements: 20.8 meV per atom

CIF file:
```
data_In2HgPb
_space_group_name_H-M_alt 'P 1'
_space_group_IT_number 1
_cell_length_a 3.300
_cell_length_b 5.377
_cell_length_c 6.525
_cell_angle_alpha 90.00
_cell_angle_beta 103.67
_cell_angle_gamma 90.00
loop_
_space_group_symop_operation_xyz
'x,y,z'
loop_
_atom_site_label
_atom_site_type_symbol
_atom_site_fract_x
_atom_site_fract_y
_atom_site_fract_z
_atom_site_occupancy
In1 In 0.000 0.000 0.000 1
In2 In 0.420 0.500 0.742 1
Hg1 Hg 0.122 0.000 0.503 1
Pb1 Pb 0.599 0.500 0.255 1
```

Entry 4:
DFT (GGA-PBE) results for crystalline In8Hg6Pb at its relaxed geometry.

Results
relative energy among the computed polymorphs: 12 meV per atom
theoretical density: 8.95 Mg/m³
size of the total moment: 0.00 μB per cell
space group: R-3
energy of formation from the pure elements: 27.2 meV per atom

CIF file:
```
data_In8Hg6Pb
_space_group_name_H-M_alt 'P 1'
_space_group_IT_number 1
_cell_length_a 8.561
_cell_length_b 8.561
_cell_length_c 8.561
_cell_angle_alpha 58.88
_cell_angle_beta 58.88
_cell_angle_gamma 58.88
loop_
_space_group_symop_operation_xyz
'x,y,z'
loop_
_atom_site_label
_atom_site_type_symbol
_atom_site_fract_x
_atom_site_fract_y
_atom_site_fract_z
_atom_site_occupancy
In1 In 0.070 0.375 0.704 1
In2 In 0.162 0.162 0.162 1
In3 In 0.296 0.930 0.625 1
In4 In 0.375 0.704 0.070 1
In5 In 0.625 0.296 0.930 1
In6 In 0.704 0.070 0.375 1
In7 In 0.838 0.838 0.838 1
In8 In 0.930 0.625 0.296 1
Hg1 Hg 0.077 0.777 0.441 1
Hg2 Hg 0.223 0.559 0.923 1
Hg3 Hg 0.441 0.077 0.777 1
Hg4 Hg 0.559 0.923 0.223 1
Hg5 Hg 0.777 0.441 0.077 1
Hg6 Hg 0.923 0.223 0.559 1
Pb1 Pb 0.500 0.500 0.500 1
```

Entry 5:
DFT (GGA-PBE) results for crystalline In2HgPb5 at its relaxed geometry.

Results
relative energy among the computed polymorphs: 58 meV per atom
theoretical density: 9.76 Mg/m³
size of the total moment: 0.00 μB per cell
space group: Cmcm
energy of formation from the pure elements: 76.7 meV per atom

CIF file:
```
data_In2HgPb5
_space_group_name_H-M_alt 'P 1'
_space_group_IT_number 1
_cell_length_a 8.862
_cell_length_b 8.862
_cell_length_c 16.836
_cell_angle_alpha 90.00
_cell_angle_beta 90.00
_cell_angle_gamma 157.82
loop_
_space_group_symop_operation_xyz
'x,y,z'
loop_
_atom_site_label
_atom_site_type_symbol
_atom_site_fract_x
_atom_site_fract_y
_atom_site_fract_z
_atom_site_occupancy
In1 In 0.069 0.931 0.657 1
In2 In 0.069 0.931 0.843 1
In3 In 0.931 0.069 0.157 1
In4 In 0.931 0.069 0.343 1
Hg1 Hg 0.085 0.915 0.250 1
Hg2 Hg 0.915 0.085 0.750 1
Pb1 Pb 0.086 0.914 0.050 1
Pb2 Pb 0.086 0.914 0.450 1
Pb3 Pb 0.257 0.743 0.750 1
Pb4 Pb 0.289 0.711 0.080 1
Pb5 Pb 0.289 0.711 0.420 1
Pb6 Pb 0.711 0.289 0.580 1
Pb7 Pb 0.711 0.289 0.920 1
Pb8 Pb 0.743 0.257 0.250 1
Pb9 Pb 0.914 0.086 0.550 1
Pb10 Pb 0.914 0.086 0.950 1
```

Entry 6:
DFT (GGA-PBE) results for crystalline In6Hg4Pb at its relaxed geometry.

Results
theoretical density: 9.30 Mg/m³
size of the total moment: 0.00 μB per cell
space group: P-6m2
energy of formation from the pure elements: 29.4 meV per atom

CIF file:
```
data_In6Hg4Pb
_space_group_name_H-M_alt 'P 1'
_space_group_IT_number 1
_cell_length_a 9.765
_cell_length_b 9.765
_cell_length_c 3.672
_cell_angle_alpha 90.00
_cell_angle_beta 90.00
_cell_angle_gamma 120.00
loop_
_space_group_symop_operation_xyz
'x,y,z'
loop_
_atom_site_label
_atom_site_type_symbol
_atom_site_fract_x
_atom_site_fract_y
_atom_site_fract_z
_atom_site_occupancy
In1 In 0.188 0.376 0.000 1
In2 In 0.188 0.812 0.000 1
In3 In 0.537 0.073 0.500 1
In4 In 0.537 0.463 0.500 1
In5 In 0.624 0.812 0.000 1
In6 In 0.927 0.463 0.500 1
Hg1 Hg 0.333 0.667 0.500 1
Hg2 Hg 0.340 0.170 0.000 1
Hg3 Hg 0.830 0.170 0.000 1
Hg4 Hg 0.830 0.660 0.000 1
Pb1 Pb 0.000 0.000 0.500 1
```

Entry 7:
DFT (GGA-PBE) results for crystalline InHgPb at its relaxed geometry.

Results
relative energy among the computed polymorphs: 114 meV per atom
theoretical density: 9.26 Mg/m³
size of the total moment: 0.00 μB per cell
space group: F-43m
energy of formation from the pure elements: 114.2 meV per atom

CIF file:
```
data_InHgPb
_space_group_name_H-M_alt 'P 1'
_space_group_IT_number 1
_cell_length_a 5.099
_cell_length_b 5.099
_cell_length_c 5.099
_cell_angle_alpha 60.00
_cell_angle_beta 60.00
_cell_angle_gamma 60.00
loop_
_space_group_symop_operation_xyz
'x,y,z'
loop_
_atom_site_label
_atom_site_type_symbol
_atom_site_fract_x
_atom_site_fract_y
_atom_site_fract_z
_atom_site_occupancy
In1 In 0.000 0.000 0.000 1
Hg1 Hg 0.750 0.750 0.750 1
Pb1 Pb 0.250 0.250 0.250 1
```

Entry 8:
DFT (GGA-PBE) results for crystalline In7Hg5Pb at its relaxed geometry.

Results
theoretical density: 9.29 Mg/m³
size of the total moment: 0.00 μB per cell
space group: Cm
energy of formation from the pure elements: 30.3 meV per atom

CIF file:
```
data_In7Hg5Pb
_space_group_name_H-M_alt 'P 1'
_space_group_IT_number 1
_cell_length_a 7.579
_cell_length_b 7.579
_cell_length_c 6.768
_cell_angle_alpha 105.84
_cell_angle_beta 105.84
_cell_angle_gamma 85.63
loop_
_space_group_symop_operation_xyz
'x,y,z'
loop_
_atom_site_label
_atom_site_type_symbol
_atom_site_fract_x
_atom_site_fract_y
_atom_site_fract_z
_atom_site_occupancy
In1 In 0.000 0.000 0.000 1
In2 In 0.167 0.461 0.248 1
In3 In 0.461 0.167 0.248 1
In4 In 0.505 0.505 0.980 1
In5 In 0.556 0.887 0.873 1
In6 In 0.848 0.848 0.353 1
In7 In 0.887 0.556 0.873 1
Hg1 Hg 0.174 0.687 0.703 1
Hg2 Hg 0.288 0.868 0.347 1
Hg3 Hg 0.606 0.606 0.471 1
Hg4 Hg 0.687 0.174 0.703 1
Hg5 Hg 0.868 0.288 0.347 1
Pb1 Pb 0.190 0.190 0.742 1
```

Entry 9:
DFT (GGA-PBE) results for crystalline In4HgPb at its relaxed geometry.

Results
relative energy among the computed polymorphs: 0 meV per atom
theoretical density: 7.74 Mg/m³
size of the total moment: 0.00 μB per cell
space group: P1
energy of formation from the pure elements: 80.1 meV per atom

CIF file:
```
data_In4HgPb
_space_group_name_H-M_alt 'P 1'
_space_group_IT_number 1
_cell_length_a 4.750
_cell_length_b 5.249
_cell_length_c 7.518
_cell_angle_alpha 83.17
_cell_angle_beta 89.94
_cell_angle_gamma 89.85
loop_
_space_group_symop_operation_xyz
'x,y,z'
loop_
_atom_site_label
_atom_site_type_symbol
_atom_site_fract_x
_atom_site_fract_y
_atom_site_fract_z
_atom_site_occupancy
In1 In 0.000 0.000 0.000 1
In2 In 0.000 0.057 0.503 1
In3 In 0.500 0.555 0.033 1
In4 In 0.501 0.500 0.470 1
Hg1 Hg 0.500 0.028 0.252 1
Pb1 Pb 0.000 0.529 0.751 1
```

Entry 10:
DFT (GGA-PBE) results for crystalline InHgPb3 at its relaxed geometry.

Results
relative energy among the computed polymorphs: 419 meV per atom
theoretical density: 8.11 Mg/m³
size of the total moment: 0.00 μB per cell
space group: Pm-3m
energy of formation from the pure elements: 443.2 meV per atom

CIF file:
```
data_InHgPb3
_space_group_name_H-M_alt 'P 1'
_space_group_IT_number 1
_cell_length_a 5.767
_cell_length_b 5.767
_cell_length_c 5.767
_cell_angle_alpha 90.00
_cell_angle_beta 90.00
_cell_angle_gamma 90.00
loop_
_space_group_symop_operation_xyz
'x,y,z'
loop_
_atom_site_label
_atom_site_type_symbol
_atom_site_fract_x
_atom_site_fract_y
_atom_site_fract_z
_atom_site_occupancy
In1 In 0.000 0.000 0.000 1
Hg1 Hg 0.500 0.500 0.500 1
Pb1 Pb 0.000 0.500 0.500 1
Pb2 Pb 0.500 0.000 0.500 1
Pb3 Pb 0.500 0.500 0.000 1
```

- What is the theoretical density in the fourth record?
  8.95 Mg/m³

Repeat the ninth record exactly.
DFT (GGA-PBE) results for crystalline In4HgPb at its relaxed geometry.

Results
relative energy among the computed polymorphs: 0 meV per atom
theoretical density: 7.74 Mg/m³
size of the total moment: 0.00 μB per cell
space group: P1
energy of formation from the pure elements: 80.1 meV per atom

CIF file:
```
data_In4HgPb
_space_group_name_H-M_alt 'P 1'
_space_group_IT_number 1
_cell_length_a 4.750
_cell_length_b 5.249
_cell_length_c 7.518
_cell_angle_alpha 83.17
_cell_angle_beta 89.94
_cell_angle_gamma 89.85
loop_
_space_group_symop_operation_xyz
'x,y,z'
loop_
_atom_site_label
_atom_site_type_symbol
_atom_site_fract_x
_atom_site_fract_y
_atom_site_fract_z
_atom_site_occupancy
In1 In 0.000 0.000 0.000 1
In2 In 0.000 0.057 0.503 1
In3 In 0.500 0.555 0.033 1
In4 In 0.501 0.500 0.470 1
Hg1 Hg 0.500 0.028 0.252 1
Pb1 Pb 0.000 0.529 0.751 1
```